{
  "formula": "BaPrHg17",
  "functional": "GGA-PBE",
  "state": "optimized geometry",
  "lattice_angstrom": [[5.0501, 2.9157, 5.9053], [-5.0501, 2.9157, 5.9053], [0.0000, -5.8313, 5.9053]],
  "species": ["Ba", "Pr", "Hg", "Hg", "Hg", "Hg", "Hg", "Hg", "Hg", "Hg", "Hg", "Hg", "Hg", "Hg", "Hg", "Hg", "Hg", "Hg", "Hg"],
  "frac_coords": [[0.0000, 0.0000, 0.0000], [0.3194, 0.3194, 0.3194], [0.0531, 0.0531, 0.4140], [0.0531, 0.4140, 0.0531], [0.0657, 0.7039, 0.7039], [0.2960, 0.2960, 0.7359], [0.2960, 0.7359, 0.2960], [0.3397, 0.6388, 0.9476], [0.3397, 0.9476, 0.6388], [0.4140, 0.0531, 0.0531], [0.5270, 0.5270, 0.5270], [0.6388, 0.3397, 0.9476], [0.6388, 0.9476, 0.3397], [0.6979, 0.6979, 0.6979], [0.7039, 0.0657, 0.7039], [0.7039, 0.7039, 0.0657], [0.7359, 0.2960, 0.2960], [0.9476, 0.3397, 0.6388], [0.9476, 0.6388, 0.3397]],
  "dft_energy_ev_per_atom": -0.781,
  "ef_ev_per_atom": -0.16
}